Material: PmHg2I6
Method: DFT, PBE
State: relaxed

Results
The calculation puts the uncorrected formation energy at -671 meV/atom.

Cell lengths 10.4084, 10.4084, 9.1955 Å; angles 104.74, 104.74, 85.35 degrees
Sites, in units of the cell vectors:
Pm (0.0629, 0.9371, 0.7500)
Pm (0.9371, 0.0629, 0.2500)
Hg (0.2365, 0.4536, 0.7489)
Hg (0.4536, 0.2365, 0.2489)
Hg (0.5464, 0.7635, 0.7511)
Hg (0.7635, 0.5464, 0.2511)
I (0.0073, 0.8092, 0.3835)
I (0.0188, 0.6473, 0.7503)
I (0.1908, 0.9927, 0.1165)
I (0.3256, 0.4001, 0.0535)
I (0.3527, 0.9812, 0.7497)
I (0.4001, 0.3256, 0.5535)
I (0.5999, 0.6744, 0.4465)
I (0.6473, 0.0188, 0.2503)
I (0.6744, 0.5999, 0.9465)
I (0.8092, 0.0073, 0.8835)
I (0.9812, 0.3527, 0.2497)
I (0.9927, 0.1908, 0.6165)